Entry 1:
! Ac4NiIrSe2 | Alexandria | GGA-PBE | relaxed; values from VASP
&SYSTEM
  ibrav = 0, nat = 8, ntyp = 4
/
ATOMIC_SPECIES
Se 78.96 Se.upf
Ir 192.22 Ir.upf
Ac 227.00 Ac.upf
Ni 58.69 Ni.upf
CELL_PARAMETERS angstrom
4.317 0.000 0.000
0.000 7.437 0.114
0.000 -2.618 7.665
ATOMIC_POSITIONS angstrom
Se 2.158 -1.309 3.833
Se 0.000 2.409 3.890
Ir 2.158 3.718 0.057
Ac 2.158 1.219 1.743
Ac 0.000 4.911 1.800
Ac 0.000 -0.092 5.979
Ac 2.158 3.600 6.036
Ni 0.000 0.000 0.000
! * VASP energy: -5.90 eV per atom
! * energy relative to the elements, uncorrected: -1.142 eV per atom
! * space group: P2/m, No. 10


Entry 2:
! Pr2NdMg3 | Alexandria | GGA-PBE | relaxed; values from VASP
&SYSTEM
  ibrav = 0, nat = 6, ntyp = 3
/
ATOMIC_SPECIES
Mg 24.30 Mg.upf
Nd 144.24 Nd.upf
Pr 140.91 Pr.upf
CELL_PARAMETERS angstrom
3.905 0.000 0.000
0.000 3.905 0.000
0.000 0.000 11.740
ATOMIC_POSITIONS angstrom
Mg 0.000 0.000 0.000
Mg 0.000 0.000 3.937
Mg 0.000 0.000 7.803
Nd 1.952 1.952 5.870
Pr 1.952 1.952 9.769
Pr 1.952 1.952 1.971
! * VASP energy: -3.30 eV per atom
! * DFT formation energy: -0.11 eV/atom
! * space group: P4/mmm, No. 123